ZnCuGe2Sb: relaxed, PBE.

## Properties
- N(E_F): 2.2 states/eV/f.u.
- Calculated density: 5.47 g/cm3
- E: -2.95 eV/atom
- Total moment: 0.0 μB per formula unit

Cell and atoms, written as CIF:
```
data_ZnCuGe2Sb
_cell_length_a 4.750
_cell_length_b 4.750
_cell_length_c 5.326
_cell_angle_alpha 90.00
_cell_angle_beta 90.00
_cell_angle_gamma 90.00
_space_group_name_H-M_alt 'P 4/m m m'
_space_group_IT_number 123
_space_group_name_Hall '-P 4 2'
loop_
_atom_site_label
_atom_site_fract_x
_atom_site_fract_y
_atom_site_fract_z
Zn1 0.000 0.000 0.000
Cu1 0.500 0.500 0.500
Ge1 0.000 0.500 0.000
Sb1 0.000 0.000 0.500
```